Sr4Al6CrO16 | PBEsol | optimized geometry

The structure belongs to space group I-4m2 (No. 119); the cell edges are 9.397, 9.397 and 9.564 Å and the angles 90.00°, 90.00° and 90.00°. The asymmetric unit holds Sr at (0.243, 0.243, 0.000), Al at (0.000, 0.000, 0.000), Al at (0.000, 0.000, 0.500), Al at (0.000, 0.248, 0.254), Cr at (0.000, 0.500, 0.750), O at (0.000, 0.156, 0.096), O at (0.000, 0.165, 0.416), O at (0.000, 0.356, 0.851) and O at (0.163, 0.337, 0.250).

The total energy comes out at -7.58 eV per atom. The value obtained for the uncorrected formation energy is -281 kJ per mole of atoms. The crystal system is tetragonal.